# Mg3Cu

A relaxed structure of Mg3Cu (PBE, the Open Quantum Materials Database).

Lattice parameters (Å, degrees): 7.7278 5.8463 4.4170 90.00 90.00 131.19
With the nearest neighbours (Å) after each atom.
Fractional positions:
Cu 0.9775 0.9585 0.0000  10 Mg 2.77-3.11
Mg 0.5575 0.1099 0.0000  2 Cu 2.83, 6 Mg 2.86-3.05
Mg 0.4826 0.5606 0.0000  4 Cu 2.77-3.09, 4 Mg 2.86-3.05
Cu 0.3556 0.7080 0.5000  10 Mg 2.77-3.11
Mg 0.2522 0.0968 0.5000  4 Cu 2.79-3.11, 4 Mg 2.86-3.05
Mg 0.8508 0.1061 0.5000  4 Cu 2.77-3.09, 4 Mg 2.86-3.05
Mg 0.7760 0.5568 0.5000  2 Cu 2.83, 6 Mg 2.86-3.05
Mg 0.0812 0.5699 0.0000  4 Cu 2.79-3.11, 4 Mg 2.86-3.05

Values from the calculation:
- raw total energy (eV per atom) = -2.10
- volume (Å³/atom) = 18.8
- space-group type = P2_1/m

# MgCu

A relaxed structure of MgCu (PBE, the Open Quantum Materials Database).

Lattice parameters (Å, degrees): 4.4408 3.1207 4.4475 90.00 90.00 90.00
With the nearest neighbours (Å) after each atom.
Fractional positions:
Mg 0.7500 0.5000 0.2568  8 Cu 2.70-2.73
Cu 0.7500 0.0000 0.7613  8 Mg 2.70-2.73
Mg 0.2500 0.5000 0.7432  8 Cu 2.70-2.73
Cu 0.2500 0.0000 0.2387  8 Mg 2.70-2.73

Values from the calculation:
- raw total energy (eV per atom) = -2.73
- volume (Å³/atom) = 15.4
- space-group type = Pmma

# MgCu

A relaxed structure of MgCu (PBE, the Open Quantum Materials Database).

Lattice parameters (Å, degrees): 7.4106 5.7646 4.5322 90.00 90.00 100.39
With the nearest neighbours (Å) after each atom.
Fractional positions:
Mg 0.0050 0.0071 0.0000  3 Cu 2.80-3.01, 9 Mg 2.85-3.12
Mg 0.0435 0.5074 0.0000  4 Cu 2.61-2.73, 3 Mg 2.85-2.91
Cu 0.3408 0.3232 0.0000  6 Cu 2.54-2.80, 5 Mg 2.61-2.81
Cu 0.5495 0.8766 0.5000  6 Cu 2.57-2.78, 5 Mg 2.62-2.80
Cu 0.3394 0.8456 0.0000  6 Cu 2.57-2.78, 5 Mg 2.62-2.80
Mg 0.6333 0.6517 0.0000  8 Cu 2.61-2.90, 2 Mg 2.91
Cu 0.5481 0.3990 0.5000  6 Cu 2.54-2.80, 5 Mg 2.61-2.81
Mg 0.8839 0.7152 0.5000  3 Cu 2.80-3.01, 9 Mg 2.85-3.12
Mg 0.2555 0.0705 0.5000  8 Cu 2.61-2.90, 2 Mg 2.91
Mg 0.8454 0.2149 0.5000  4 Cu 2.61-2.73, 3 Mg 2.85-2.91
Cu 0.2534 0.5670 0.5000  6 Cu 2.54-2.80, 2 Mg 2.73
Cu 0.6355 0.1551 0.0000  6 Cu 2.54-2.80, 2 Mg 2.73

Values from the calculation:
- raw total energy (eV per atom) = -2.61
- volume (Å³/atom) = 15.9
- space-group type = P2_1/m